Record 1
Compound: TiPdS
Source: Alexandria
Functional: GGA-PBE
Structure: relaxed

The structure in CIF format:
```
data_TiPdS
_chemical_formula_sum 'Ti4 Pd4 S4'
_symmetry_space_group_name_H-M 'P n m a'
_symmetry_Int_Tables_number 62
_symmetry_space_group_name_Hall '-P 2ac 2n'
_cell_length_a 6.001
_cell_length_b 3.160
_cell_length_c 10.184
_cell_angle_alpha 90.00
_cell_angle_beta 90.00
_cell_angle_gamma 90.00
loop_
_atom_site_label
_atom_site_type_symbol
_atom_site_fract_x
_atom_site_fract_y
_atom_site_fract_z
Ti1 Ti 0.149 0.250 0.199
Pd1 Pd 0.183 0.750 0.973
S1 S 0.043 0.250 0.660
```


Record 2
Compound: TiPdS2
Source: Alexandria
Functional: GGA-PBE
Structure: relaxed

The structure in CIF format:
```
data_TiPdS2
_chemical_formula_sum 'Ti4 Pd4 S8'
_symmetry_space_group_name_H-M 'F m -3 m'
_symmetry_Int_Tables_number 225
_symmetry_space_group_name_Hall '-F 4 2 3'
_cell_length_a 6.197
_cell_length_b 6.197
_cell_length_c 6.197
_cell_angle_alpha 90.00
_cell_angle_beta 90.00
_cell_angle_gamma 90.00
loop_
_atom_site_label
_atom_site_type_symbol
_atom_site_fract_x
_atom_site_fract_y
_atom_site_fract_z
Ti1 Ti 0.000 0.000 0.000
Pd1 Pd 0.000 0.000 0.500
S1 S 0.250 0.250 0.250
```


Number 1: ΔE_f (raw) -801 meV per atom, raw total energy -6.54 eV per atom. Number 2: ΔE_f (raw) -565 meV per atom, raw total energy -5.90 eV per atom.